(1)
# FeAs3 PBE optimized geometry
# Energy relative to the lowest polymorph listed for this composition ... 348 meV per atom
# N(E_F) ... 11.45 states/eV/cell
# ΔE_f ... 0.3944 eV/atom
data_FeAs3
_symmetry_space_group_name_H-M 'C m c m'
_symmetry_Int_Tables_number 63
_symmetry_space_group_name_Hall '-C 2c 2'
_cell_length_a 7.333
_cell_length_b 12.022
_cell_length_c 3.525
_cell_angle_alpha 90.00
_cell_angle_beta 90.00
_cell_angle_gamma 90.00
loop_
_atom_site_label
_atom_site_fract_x
_atom_site_fract_y
_atom_site_fract_z
Fe1 0.000 0.048 0.250
As1 0.000 0.415 0.250
As2 0.249 0.162 0.250

=====

(2)
# KB2S4 PBE optimized geometry
# N(E_F) ... 3.36 states/eV/cell
# Formation energy (no corrections) ... -363 meV per atom
data_KB2S4
_symmetry_space_group_name_H-M 'P -1'
_symmetry_Int_Tables_number 2
_cell_length_a 6.742
_cell_length_b 6.994
_cell_length_c 9.753
_cell_angle_alpha 84.15
_cell_angle_beta 85.64
_cell_angle_gamma 89.31
loop_
_symmetry_equiv_pos_as_xyz
'x,y,z'
'-x,-y,-z'
loop_
_atom_site_label
_atom_site_fract_x
_atom_site_fract_y
_atom_site_fract_z
K1 0.223 0.491 0.242
B1 0.000 0.000 0.000
B2 0.000 0.000 0.500
B3 0.500 0.000 0.000
B4 0.500 0.500 0.500
S1 0.005 0.764 0.987
S2 0.007 0.234 0.522
S3 0.499 0.237 0.012
S4 0.499 0.261 0.528

=====

(3)
# BaY2SiMo PBE optimized geometry
# N(E_F) ... 6.37 states/eV/cell
# Formation energy (no corrections) ... 769 meV per atom
data_BaY2SiMo
_symmetry_space_group_name_H-M 'P 4/m m m'
_symmetry_Int_Tables_number 123
_symmetry_space_group_name_Hall '-P 4 2'
_cell_length_a 5.429
_cell_length_b 5.429
_cell_length_c 6.224
_cell_angle_alpha 90.00
_cell_angle_beta 90.00
_cell_angle_gamma 90.00
loop_
_atom_site_label
_atom_site_fract_x
_atom_site_fract_y
_atom_site_fract_z
Ba1 0.000 0.000 0.000
Y1 0.000 0.500 0.500
Si1 0.000 0.000 0.500
Mo1 0.500 0.500 0.000

=====

| no. | magnetization (μB/f.u.) | raw total energy (eV/atom) |
| --- | --- | --- |
| 1 | 0.00 | -5.208 |
| 2 | 0.00 | -4.787 |
| 3 | 4.50 | -5.452 |